[1]
DFT (meta-GGA SCAN) results for a PBEsol-optimized structure of BaY2Se4.

a = 4.154 Å, b = 12.605 Å, c = 15.002 Å
α = 90.00°, β = 90.00°, γ = 90.00°
Fractional coordinates of all 28 atoms:
Se (0.250, 0.023, 0.717)
Se (0.250, 0.415, 0.422)
Se (0.250, 0.915, 0.078)
Se (0.750, 0.872, 0.524)
Se (0.750, 0.085, 0.922)
Se (0.250, 0.707, 0.336)
Se (0.250, 0.523, 0.783)
Se (0.250, 0.128, 0.476)
Se (0.750, 0.372, 0.976)
Se (0.750, 0.977, 0.283)
Se (0.750, 0.477, 0.217)
Se (0.750, 0.293, 0.664)
Se (0.750, 0.585, 0.578)
Se (0.250, 0.207, 0.164)
Se (0.250, 0.628, 0.024)
Se (0.750, 0.793, 0.836)
Y (0.750, 0.078, 0.600)
Y (0.750, 0.066, 0.108)
Y (0.250, 0.922, 0.400)
Y (0.250, 0.934, 0.892)
Y (0.750, 0.578, 0.900)
Y (0.750, 0.566, 0.392)
Y (0.250, 0.434, 0.608)
Y (0.250, 0.422, 0.100)
Ba (0.250, 0.759, 0.665)
Ba (0.750, 0.241, 0.335)
Ba (0.750, 0.741, 0.165)
Ba (0.250, 0.259, 0.835)

- theoretical density (g/cm³) = 5.335
- total moment (μB/atom) = 0.000
- crystal system = orthorhombic
- E (eV per atom) = -27.35



[2]
DFT (meta-GGA SCAN) results for a PBEsol-optimized structure of Ba4YSe.

a = 7.138 Å, b = 7.138 Å, c = 7.138 Å
α = 60.00°, β = 60.00°, γ = 60.00°
Last column: magnetic moment on the atom in μB.
Fractional coordinates of all 6 atoms:
Ba (0.376, 0.872, 0.376)  0.24
Ba (0.376, 0.376, 0.872)  0.24
Ba (0.872, 0.376, 0.376)  0.24
Ba (0.376, 0.376, 0.376)  0.24
Se (0.750, 0.750, 0.750)  0.03
Y (0.000, 0.000, 0.000)  0.95

- theoretical density (g/cm³) = 4.631
- total moment (μB/atom) = 0.779
- crystal system = cubic
- E (eV per atom) = -34.10



[3]
DFT (meta-GGA SCAN) results for a PBEsol-optimized structure of BaY3Se.

a = 5.515 Å, b = 5.515 Å, c = 5.515 Å
α = 90.00°, β = 90.00°, γ = 90.00°
Last column: magnetic moment on the atom in μB.
Fractional coordinates of all 5 atoms:
Se (0.000, 0.000, 0.000)  0.01
Y (0.000, 0.500, 0.000)  0.39
Y (0.000, 0.000, 0.500)  0.39
Y (0.500, 0.000, 0.000)  0.39
Ba (0.500, 0.500, 0.500)  0.11

- theoretical density (g/cm³) = 4.781
- total moment (μB/atom) = 0.487
- crystal system = cubic
- E (eV per atom) = -29.13